Below is a relaxed MnSO4 crystal, with properties calculated at the PBE+U level.

Computed properties:
E: -6.74 eV/atom
volume: 15.24 A^3/atom
theoretical density: 2.74 Mg/m³
SG: P-42c (112)

Unit cell a=4.683 b=4.683 c=8.336 alpha=90.00 beta=90.00 gamma=90.00
Sites, in units of the cell vectors:
Mn: 0.000 0.000 0.000
O: 0.315 0.183 0.853
S: 0.000 0.500 0.250
Mn: 0.000 0.000 0.500
O: 0.183 0.685 0.147
O: 0.183 0.315 0.353
O: 0.685 0.183 0.647
O: 0.817 0.685 0.353
O: 0.817 0.315 0.147
O: 0.315 0.817 0.647
O: 0.685 0.817 0.853
S: 0.500 0.000 0.750

Below is a relaxed Mn2SO2 crystal, with properties calculated at the PBE+U level.

Computed properties:
E: -6.45 eV/atom
volume: 11.99 A^3/atom
theoretical density: 4.82 Mg/m³
SG: P4/mbm (127)

Unit cell a=6.508 b=6.508 c=2.831 alpha=90.00 beta=90.00 gamma=90.00
Sites, in units of the cell vectors:
O: 0.362 0.138 0.500
Mn: 0.346 0.846 0.000
S: 0.500 0.500 0.000
Mn: 0.846 0.654 0.000
Mn: 0.654 0.154 0.000
O: 0.862 0.362 0.500
O: 0.638 0.862 0.500
S: 0.000 0.000 0.000
O: 0.138 0.638 0.500
Mn: 0.154 0.346 0.000

Below is a relaxed Mn2SO crystal, with properties calculated at the PBE+U level.

Computed properties:
E: -7.11 eV/atom
volume: 18.36 A^3/atom
theoretical density: 3.57 Mg/m³
SG: P-4m2 (115)

Unit cell a=3.773 b=3.773 c=5.160 alpha=90.00 beta=90.00 gamma=90.00
Sites, in units of the cell vectors:
Mn: 0.000 0.500 0.303
O: 0.500 0.500 0.500
Mn: 0.500 0.000 0.697
S: 0.000 0.000 0.000

Below is a relaxed Mn2SO crystal, with properties calculated at the PBE+U level.

Computed properties:
E: -7.07 eV/atom
volume: 14.82 A^3/atom
theoretical density: 4.42 Mg/m³
SG: R-3m (166)

Unit cell a=3.468 b=3.468 c=6.035 alpha=73.30 beta=73.30 gamma=60.00
Sites, in units of the cell vectors:
O: 0.000 0.000 0.000
S: 0.500 0.500 0.500
Mn: 0.739 0.739 0.782
Mn: 0.261 0.261 0.218

Below is a relaxed Mn2S3O12 crystal, with properties calculated at the PBE+U level.

Computed properties:
E: -6.50 eV/atom
volume: 12.76 A^3/atom
theoretical density: 3.05 Mg/m³
SG: P2_1/c (14)

Unit cell a=8.636 b=8.623 c=14.391 alpha=54.05 beta=90.00 gamma=90.00
Sites, in units of the cell vectors:
O: 0.916 0.141 0.313
O: 0.175 0.431 0.100
O: 0.146 0.472 0.916
Mn: 0.467 0.867 0.884
Mn: 0.469 0.629 0.615
O: 0.971 0.445 0.284
O: 0.573 0.183 0.551
O: 0.591 0.164 0.973
O: 0.133 0.597 0.446
S: 0.880 0.980 0.141
Mn: 0.031 0.629 0.115
O: 0.669 0.749 0.947
O: 0.529 0.445 0.784
O: 0.725 0.984 0.187
O: 0.867 0.403 0.554
Mn: 0.969 0.371 0.885
O: 0.073 0.817 0.949
O: 0.775 0.984 0.687
O: 0.120 0.137 0.901
O: 0.331 0.251 0.053
S: 0.755 0.559 0.493
O: 0.367 0.597 0.946
O: 0.380 0.137 0.401
O: 0.008 0.103 0.762
O: 0.354 0.472 0.416
O: 0.416 0.859 0.187
S: 0.620 0.980 0.641
Mn: 0.033 0.867 0.384
O: 0.169 0.251 0.553
O: 0.292 0.692 0.673
O: 0.584 0.141 0.813
O: 0.208 0.692 0.173
O: 0.275 0.016 0.813
S: 0.878 0.264 0.349
O: 0.409 0.836 0.027
Mn: 0.533 0.133 0.116
O: 0.792 0.308 0.827
O: 0.225 0.016 0.313
O: 0.992 0.897 0.238
S: 0.622 0.264 0.849
Mn: 0.967 0.133 0.616
O: 0.029 0.555 0.716
O: 0.471 0.555 0.216
S: 0.380 0.020 0.359
S: 0.255 0.441 0.007
Mn: 0.531 0.371 0.385
S: 0.745 0.559 0.993
O: 0.633 0.403 0.054
S: 0.120 0.020 0.859
O: 0.492 0.103 0.262
O: 0.427 0.817 0.449
O: 0.675 0.569 0.400
O: 0.646 0.528 0.584
O: 0.831 0.749 0.447
O: 0.880 0.863 0.099
O: 0.909 0.164 0.473
O: 0.325 0.431 0.600
S: 0.122 0.736 0.651
O: 0.084 0.859 0.687
O: 0.620 0.863 0.599
O: 0.825 0.569 0.900
O: 0.708 0.308 0.327
O: 0.508 0.897 0.738
S: 0.245 0.441 0.507
O: 0.854 0.528 0.084
S: 0.378 0.736 0.151
O: 0.927 0.183 0.051
O: 0.091 0.836 0.527

Below is a relaxed Mn2SO crystal, with properties calculated at the PBE+U level.

Computed properties:
E: -6.54 eV/atom
volume: 14.16 A^3/atom
theoretical density: 4.63 Mg/m³
SG: Fm-3m (225)

Unit cell a=4.311 b=4.311 c=4.311 alpha=60.00 beta=60.00 gamma=60.00
Sites, in units of the cell vectors:
O: 0.000 0.000 0.000
Mn: 0.750 0.750 0.750
S: 0.500 0.500 0.500
Mn: 0.250 0.250 0.250